Material: VCo2Se
Method: DFT, PBE
State: optimized geometry

The structure in POSCAR format:
```
VCo2Se
1.0
5.1971 0.0000 0.0000
0.0000 5.1971 0.0000
2.5986 2.5986 5.1412
V Co Se
2 4 2
Cartesian
2.5986 5.1971 2.5706
2.5986 2.5986 0.0000
3.8979 3.9130 3.8559
6.4964 6.4813 3.8559
1.3145 3.8979 1.2853
3.8827 1.2993 1.2853
0.0000 0.0000 0.0000
5.1971 2.5986 2.5706
```

Results
uncorrected energy: -6.2082 eV/atom
uncorrected formation energy: 0.496 eV per atom
space group: I-42d (122)
total moment: 0.0000 μB per atom

***

Material: PbSeI2N
Method: DFT, PBE
State: optimized geometry

The structure in POSCAR format:
```
PbSeI2N
1.0
6.3888 0.0000 0.0000
0.0000 6.3888 0.0000
0.0000 0.0000 4.7690
I N Se Pb
2 1 1 1
Cartesian
0.0000 3.1944 0.0000
3.1944 0.0000 0.0000
0.0000 0.0000 2.3845
3.1944 3.1944 2.3845
0.0000 0.0000 0.0000
```

Results
excess energy over the best structure of this formula in the dataset: 455.5 meV per atom
uncorrected energy: -2.6865 eV/atom
uncorrected formation energy: 1.037 eV per atom
space group: P4/mmm (123)
total moment: 0.9011 μB per atom

***

Material: MgGa2SnS6
Method: DFT, PBE
State: optimized geometry

The structure in POSCAR format:
```
MgGa2SnS6
1.0
-0.4757 -6.4069 -0.8622
7.8316 -1.5187 -2.1929
2.2581 -2.4204 7.5823
S Ga Mg Sn
12 4 2 2
Cartesian
2.0307 -5.5921 4.0164
8.1441 -7.6053 5.0959
3.8360 -5.2959 0.6220
6.4608 -8.1046 1.8595
7.5833 -4.7538 0.5108
3.1532 -2.2414 2.6678
5.1540 -1.9219 -0.6131
4.4600 -8.4241 5.1403
1.4699 -2.7407 -0.5687
5.7780 -5.0501 3.9053
0.2453 -6.1037 0.7308
9.3687 -4.2423 3.7965
3.5112 -2.9924 0.5271
7.3658 -3.9843 2.6334
2.2482 -6.3616 1.8939
6.1028 -7.3536 4.0002
2.4086 -7.1435 6.0459
7.2054 -3.2025 -1.5187
6.0024 -6.5621 -0.2571
3.6116 -3.7839 4.7843
```

Results
uncorrected energy: -4.3167 eV/atom
uncorrected formation energy: -0.675 eV per atom
space group: C2/c (15)
total moment: 0.0000 μB per atom

***

Material: KLiPdF6
Method: DFT, PBE
State: optimized geometry

The structure in POSCAR format:
```
KLiPdF6
1.0
-0.7576 -2.4141 4.6846
4.1192 -2.1922 2.5640
0.9656 5.0380 2.7537
F K Li Pd
6 1 1 1
Cartesian
1.7509 0.7486 1.8583
3.2295 2.0476 3.5855
0.4721 2.5664 3.6065
-0.0970 0.0211 3.8404
1.6546 1.1752 5.7372
2.6099 -0.6575 4.1296
0.2080 2.6239 7.4383
2.7237 -0.5516 6.2088
1.6033 0.9836 3.7929
```

Results
uncorrected energy: -4.2580 eV/atom
uncorrected formation energy: -2.099 eV per atom
space group: P312 (149)
total moment: 0.0000 μB per atom